# 1
# MoAsSe2

A crystal of MoAsSe2 relaxed with PBEsol (SCAN, the Alexandria database).

## Properties
Symmetry = F-43m, No. 216
Volume = 267 Å³ per cell
E_tot = -23.186 eV per atom
Uncorrected formation energy = 0.622 eV per atom
N(E_F) = 6.7 states/eV/cell

Geometry as CIF:
```
data_MoAsSe2
_space_group_name_H-M_alt 'P 1'
_space_group_IT_number 1
_cell_length_a 6.4409
_cell_length_b 6.4409
_cell_length_c 6.4409
_cell_angle_alpha 90.00
_cell_angle_beta 90.00
_cell_angle_gamma 90.00
loop_
_space_group_symop_operation_xyz
'x,y,z'
loop_
_atom_site_label
_atom_site_type_symbol
_atom_site_fract_x
_atom_site_fract_y
_atom_site_fract_z
Mo1 Mo 0.0000 0.0000 0.0000
Mo2 Mo 0.0000 0.5000 0.5000
Mo3 Mo 0.5000 0.0000 0.5000
Mo4 Mo 0.5000 0.5000 0.0000
As1 As 0.2500 0.2500 0.2500
As2 As 0.2500 0.7500 0.7500
As3 As 0.7500 0.2500 0.7500
As4 As 0.7500 0.7500 0.2500
Se1 Se 0.0000 0.0000 0.5000
Se2 Se 0.0000 0.5000 0.0000
Se3 Se 0.2500 0.2500 0.7500
Se4 Se 0.2500 0.7500 0.2500
Se5 Se 0.5000 0.0000 0.0000
Se6 Se 0.5000 0.5000 0.5000
Se7 Se 0.7500 0.2500 0.2500
Se8 Se 0.7500 0.7500 0.7500
```

***

# 2
# Mo2AsSe

A crystal of Mo2AsSe relaxed with PBEsol (SCAN, the Alexandria database).

## Properties
Symmetry = C2/m, No. 12
Volume = 128 Å³ per cell
E_tot = -26.981 eV per atom
Uncorrected formation energy = 0.529 eV per atom
N(E_F) = 6.4 states/eV/cell

Geometry as CIF:
```
data_Mo2AsSe
_space_group_name_H-M_alt 'P 1'
_space_group_IT_number 1
_cell_length_a 5.9477
_cell_length_b 8.0112
_cell_length_c 3.0345
_cell_angle_alpha 90.00
_cell_angle_beta 117.35
_cell_angle_gamma 90.00
loop_
_space_group_symop_operation_xyz
'x,y,z'
loop_
_atom_site_label
_atom_site_type_symbol
_atom_site_fract_x
_atom_site_fract_y
_atom_site_fract_z
Mo1 Mo 0.2500 0.2500 0.0000
Mo2 Mo 0.2500 0.7500 0.0000
Mo3 Mo 0.7500 0.2500 0.0000
Mo4 Mo 0.7500 0.7500 0.0000
As1 As 0.0000 0.0000 0.5000
As2 As 0.5000 0.5000 0.5000
Se1 Se 0.0000 0.5000 0.5000
Se2 Se 0.5000 0.0000 0.5000
```

***

# 3
# Mo2AsSe

A crystal of Mo2AsSe relaxed with PBEsol (SCAN, the Alexandria database).

## Properties
Symmetry = Pmmm, No. 47
Volume = 64 Å³ per cell
E_tot = -26.987 eV per atom
Uncorrected formation energy = 0.522 eV per atom
N(E_F) = 3.3 states/eV/cell

Geometry as CIF:
```
data_Mo2AsSe
_space_group_name_H-M_alt 'P 1'
_space_group_IT_number 1
_cell_length_a 3.0962
_cell_length_b 4.0304
_cell_length_c 5.1380
_cell_angle_alpha 90.00
_cell_angle_beta 90.00
_cell_angle_gamma 90.00
loop_
_space_group_symop_operation_xyz
'x,y,z'
loop_
_atom_site_label
_atom_site_type_symbol
_atom_site_fract_x
_atom_site_fract_y
_atom_site_fract_z
Mo1 Mo 0.0000 0.0000 0.0000
Mo2 Mo 0.5000 0.0000 0.5000
As1 As 0.0000 0.5000 0.5000
Se1 Se 0.5000 0.5000 0.0000
```

***

# 4
# SiMo2As

A crystal of SiMo2As relaxed with PBEsol (SCAN, the Alexandria database).

## Properties
Symmetry = Immm, No. 71
Volume = 119 Å³ per cell
E_tot = -24.778 eV per atom
Uncorrected formation energy = 0.216 eV per atom
N(E_F) = 7.1 states/eV/cell

Geometry as CIF:
```
data_SiMo2As
_space_group_name_H-M_alt 'P 1'
_space_group_IT_number 1
_cell_length_a 3.1392
_cell_length_b 4.8333
_cell_length_c 7.8692
_cell_angle_alpha 90.00
_cell_angle_beta 90.00
_cell_angle_gamma 90.00
loop_
_space_group_symop_operation_xyz
'x,y,z'
loop_
_atom_site_label
_atom_site_type_symbol
_atom_site_fract_x
_atom_site_fract_y
_atom_site_fract_z
Si1 Si 0.0000 0.0000 0.0000
Si2 Si 0.5000 0.5000 0.5000
Mo1 Mo 0.0000 0.5000 0.2491
Mo2 Mo 0.0000 0.5000 0.7509
Mo3 Mo 0.5000 0.0000 0.2509
Mo4 Mo 0.5000 0.0000 0.7491
As1 As 0.0000 0.0000 0.5000
As2 As 0.5000 0.5000 0.0000
```